# 1
# Pr2BeAl3Pt4 | the Alexandria database | PBE-GGA | relaxed
data_Pr2BeAl3Pt4
_chemical_formula_sum 'Pr2 Be1 Al3 Pt4'
_cell_length_a 4.3245
_cell_length_b 4.3245
_cell_length_c 10.0598
_cell_angle_alpha 90.00
_cell_angle_beta 90.00
_cell_angle_gamma 90.00
_symmetry_space_group_name_H-M 'P -4 m 2'
_symmetry_Int_Tables_number 115
loop_
_symmetry_equiv_pos_as_xyz
'x,y,z'
'y,-x,-z'
'-x,-y,z'
'-y,x,-z'
'-x,y,z'
'-y,-x,-z'
'x,-y,z'
'y,x,-z'
loop_
_atom_site_label
_atom_site_type_symbol
_atom_site_fract_x
_atom_site_fract_y
_atom_site_fract_z
_atom_site_occupancy
Pr1 Pr 0.0000 0.5000 0.2451 1
Be1 Be 0.5000 0.5000 0.0000 1
Al1 Al 0.0000 0.0000 0.0000 1
Al2 Al 0.0000 0.5000 0.6292 1
Pt1 Pt 0.0000 0.0000 0.5000 1
Pt2 Pt 0.0000 0.5000 0.8788 1
Pt3 Pt 0.5000 0.5000 0.5000 1
# - energy relative to the elements (eV per atom) = -1.005

***

# 2
# Pr2Be3AlPt4 | the Alexandria database | PBE-GGA | relaxed
data_Pr2Be3AlPt4
_chemical_formula_sum 'Pr2 Be3 Al1 Pt4'
_cell_length_a 4.1186
_cell_length_b 4.1186
_cell_length_c 10.0568
_cell_angle_alpha 90.00
_cell_angle_beta 90.00
_cell_angle_gamma 90.00
_symmetry_space_group_name_H-M 'P -4 m 2'
_symmetry_Int_Tables_number 115
loop_
_symmetry_equiv_pos_as_xyz
'x,y,z'
'y,-x,-z'
'-x,-y,z'
'-y,x,-z'
'-x,y,z'
'-y,-x,-z'
'x,-y,z'
'y,x,-z'
loop_
_atom_site_label
_atom_site_type_symbol
_atom_site_fract_x
_atom_site_fract_y
_atom_site_fract_z
_atom_site_occupancy
Pr1 Pr 0.0000 0.5000 0.2425 1
Be1 Be 0.0000 0.5000 0.8841 1
Be2 Be 0.5000 0.5000 0.5000 1
Al1 Al 0.0000 0.0000 0.5000 1
Pt1 Pt 0.0000 0.0000 0.0000 1
Pt2 Pt 0.0000 0.5000 0.6382 1
Pt3 Pt 0.5000 0.5000 0.0000 1
# - energy relative to the elements (eV per atom) = -0.900

***

# 3
# PrBeAlPt2 | the Alexandria database | PBE-GGA | relaxed
data_PrBeAlPt2
_chemical_formula_sum 'Pr2 Be2 Al2 Pt4'
_cell_length_a 4.0385
_cell_length_b 4.0385
_cell_length_c 11.2555
_cell_angle_alpha 90.00
_cell_angle_beta 90.00
_cell_angle_gamma 90.00
_symmetry_space_group_name_H-M 'I -4 m 2'
_symmetry_Int_Tables_number 119
_symmetry_space_group_name_Hall 'I -4 -2'
loop_
_atom_site_label
_atom_site_type_symbol
_atom_site_fract_x
_atom_site_fract_y
_atom_site_fract_z
_atom_site_occupancy
Pr1 Pr 0.0000 0.0000 0.0000 1
Be1 Be 0.0000 0.5000 0.7500 1
Al1 Al 0.0000 0.5000 0.2500 1
Pt1 Pt 0.0000 0.0000 0.3755 1
# - energy relative to the elements (eV per atom) = -0.916

***

Number 1: raw total energy -5.87 eV per atom. Number 2: raw total energy -5.76 eV per atom. Number 3: raw total energy -5.78 eV per atom.